1.
Zr2TeMo at its PBEsol-relaxed geometry, computed with meta-GGA SCAN.

Cell: 4.6029 4.6029 3.6827 Å, 90.00 90.00 90.00°
Last column: nearest neighbours and their distance in Å.
Sites, in units of the cell vectors:
Zr 0.0000 0.5000 0.0000  4 Mo 2.95, 4 Te 2.95, 4 Zr 3.25
Zr 0.5000 0.0000 0.0000  4 Mo 2.95, 4 Te 2.95, 4 Zr 3.25
Te 0.0000 0.0000 0.5000  8 Zr 2.95, 4 Mo 3.25
Mo 0.5000 0.5000 0.5000  8 Zr 2.95, 4 Te 3.25

Summary:
E_form (uncorrected)	-0.26	eV/atom
E_tot	-33.6460	eV per atom
DOS at the Fermi energy	2.9	states/eV/f.u.



2.
Zr2TeMo at its PBEsol-relaxed geometry, computed with meta-GGA SCAN.

Cell: 4.8064 4.8064 4.8064 Å, 60.00 60.00 60.00°
Last column: nearest neighbours and their distance in Å.
Sites, in units of the cell vectors:
Zr 0.2500 0.2500 0.2500  4 Mo 2.94, 4 Te 2.94
Zr 0.7500 0.7500 0.7500  4 Mo 2.94, 4 Te 2.94
Te 0.0000 0.0000 0.0000  8 Zr 2.94
Mo 0.5000 0.5000 0.5000  8 Zr 2.94

Summary:
E_form (uncorrected)	-0.07	eV/atom
E_tot	-33.4547	eV per atom
DOS at the Fermi energy	4.4	states/eV/f.u.



3.
TiMo3 at its PBEsol-relaxed geometry, computed with meta-GGA SCAN.

Cell: 5.1858 5.1858 5.1858 Å, 144.86 129.95 62.62°
Last column: nearest neighbours and their distance in Å.
Sites, in units of the cell vectors:
Ti 0.0000 0.0000 0.0000  8 Mo 2.69-2.75
Mo 0.2558 0.7558 0.5000  6 Mo 2.67-2.70, 2 Ti 2.75
Mo 0.5000 0.5000 0.0000  4 Mo 2.67, 4 Ti 2.69
Mo 0.7442 0.2442 0.5000  6 Mo 2.67-2.70, 2 Ti 2.75

Summary:
E_tot	-30.3199	eV per atom
energy relative to the elements	-0.15	eV per atom
DOS at the Fermi energy	2.4	states/eV/f.u.



4.
Ti3TlMo at its PBEsol-relaxed geometry, computed with meta-GGA SCAN.

Cell: 4.7058 4.7058 4.7058 Å, 90.00 90.00 90.00°
Last column: nearest neighbours and their distance in Å.
Sites, in units of the cell vectors:
Ti 0.0000 0.0000 0.5000  2 Mo 2.35
Ti 0.0000 0.5000 0.0000  2 Mo 2.35
Ti 0.5000 0.0000 0.0000  2 Mo 2.35
Tl 0.5000 0.5000 0.5000  12 Ti 3.33
Mo 0.0000 0.0000 0.0000  6 Ti 2.35

Summary:
E_tot	-30.4012	eV per atom
energy relative to the elements	0.67	eV per atom
DOS at the Fermi energy	6.6	states/eV/f.u.